[1]
Below is a relaxed structure of PSe5, with properties calculated at the PBE-GGA level.

Properties
density	3.57	g cm⁻³
excess energy over the best structure of this formula in the dataset	70.4	kJ/mol of atoms
V	198	Å³/cell
magnetic moment	3.1	μB/cell

Lattice parameters (Å, degrees): 5.0989 5.0989 8.7967 90.00 90.00 120.00
Space group P6/mmm (No. 191)
One atom of each set of equivalent atoms:
P: 0.0000 0.0000 0.0000 x1
Se: 0.0000 0.5000 0.5000 x3
Se: 0.3333 0.6667 0.0000 x2

***

[2]
Below is a relaxed structure of Si2PSe, with properties calculated at the PBE-GGA level.

Properties
density	3.45	g cm⁻³
excess energy over the best structure of this formula in the dataset	27.9	kJ/mol of atoms
V	319	Å³/cell
magnetic moment	0.0	μB/cell

Lattice parameters (Å, degrees): 6.3327 6.3327 7.9642 90.00 90.00 90.00
Space group I-42d (No. 122)
One atom of each set of equivalent atoms:
Si: 0.2206 0.2500 0.1250 x8
P: 0.0000 0.0000 0.0000 x4
Se: 0.0000 0.0000 0.5000 x4